Density functional theory data (SCAN) for a PBEsol-optimized structure of CaRePb2.

Structure (POSCAR):
```
CaRePb2
1.0
-1.0898 4.8152 0.1367
-3.9893 1.6971 -2.3659
-3.9121 1.5744 2.5708
Ca Pb Re
1 2 1
direct
0.0000 0.0000 0.0000
0.2500 0.2500 0.2500
0.7500 0.7500 0.7500
0.5000 0.5000 0.5000
```

Properties
Energy above the lowest structure with this stoichiometry, eV per atom: 0.045
Energy relative to the elements, eV/atom: 0.394
VASP energy, eV/cell: -230.748
D(E_F), states/eV per atom: 0.84

***

Density functional theory data (SCAN) for a PBEsol-optimized structure of TaBiSb3.

Structure (POSCAR):
```
TaBiSb3
1.0
5.3082 0.0000 0.0000
0.0000 5.3082 0.0000
0.0000 0.0000 5.3082
Sb Bi Ta
3 1 1
direct
0.0000 0.5000 0.0000
0.0000 0.0000 0.5000
0.5000 0.0000 0.0000
0.5000 0.5000 0.5000
0.0000 0.0000 0.0000
```

Properties
VASP energy, eV/cell: -254.173
Formation energy (no corrections), meV/atom: 554.4
D(E_F), states/eV per atom: 1.02

***

Density functional theory data (SCAN) for a PBEsol-optimized structure of NiW2Au.

Structure (POSCAR):
```
NiW2Au
1.0
2.6784 0.0000 0.0000
-1.3392 4.4896 -0.0050
0.0000 -0.6962 4.8835
Au Ni W
1 1 2
direct
0.5028 0.0056 0.5101
0.2540 0.5079 0.7558
0.9930 0.9859 0.9861
0.7503 0.5006 0.2481
```

Properties
Energy above the lowest structure with this stoichiometry, eV per atom: 0.008
Energy relative to the elements, eV/atom: 0.297
VASP energy, eV/cell: -223.517
D(E_F), states/eV per atom: 0.68

***

Density functional theory data (SCAN) for a PBEsol-optimized structure of MnReTeN2.

Structure (POSCAR):
```
MnReTeN2
1.0
3.6904 0.0000 0.0000
0.0000 3.6904 0.0000
0.0000 0.0000 5.3458
Re Te Mn N
1 1 1 2
direct
0.5000 0.5000 0.5000
0.0000 0.0000 0.5000
0.0000 0.0000 0.0000
0.0000 0.5000 0.0000
0.5000 0.0000 0.0000
```

Properties
Energy above the lowest structure with this stoichiometry, eV per atom: 1.030
VASP energy, eV/cell: -138.270
Formation energy (no corrections), meV/atom: 1383.2
D(E_F), states/eV per atom: 0.82

***

Density functional theory data (SCAN) for a PBEsol-optimized structure of Mg2AlTl.

Structure (POSCAR):
```
Mg2AlTl
1.0
-2.4554 -3.6115 0.7033
3.6786 -2.4269 0.3807
-0.5381 3.7982 3.7149
Mg Tl Al
2 1 1
direct
0.7500 0.2500 0.5000
0.2500 0.7500 0.5000
0.0000 0.0000 0.0000
0.5000 0.5000 0.0000
```

Properties
Energy relative to the elements, eV/atom: -0.030
VASP energy, eV/cell: -90.176
D(E_F), states/eV per atom: 0.37

***

Density functional theory data (SCAN) for a PBEsol-optimized structure of CaTc2P.

Structure (POSCAR):
```
CaTc2P
1.0
2.9327 0.0000 0.0000
0.0000 2.9327 0.0000
0.0000 0.0000 7.4696
Ca P Tc
1 1 2
direct
0.0000 0.0000 0.5166
0.5000 0.5000 0.8053
0.0000 0.0000 0.9747
0.5000 0.5000 0.2034
```

Properties
Energy relative to the elements, eV/atom: -0.124
VASP energy, eV/cell: -90.676
D(E_F), states/eV per atom: 0.81

***

Density functional theory data (SCAN) for a PBEsol-optimized structure of TaSbW2.

Structure (POSCAR):
```
TaSbW2
1.0
2.9211 0.0008 0.0000
-0.9870 2.7493 0.0000
0.0000 0.0000 8.7346
Sb Ta W
1 1 2
direct
0.5000 0.5000 0.5000
0.5000 0.5000 0.0000
0.0000 0.0000 0.2439
0.0000 0.0000 0.7561
```

Properties
VASP energy, eV/cell: -241.249
Formation energy (no corrections), meV/atom: 492.7
D(E_F), states/eV per atom: 0.62

***

Density functional theory data (SCAN) for a PBEsol-optimized structure of BeSeCl2.

Structure (POSCAR):
```
BeSeCl2
1.0
-1.8397 2.4063 -0.4090
-0.6416 0.3579 4.9908
6.0948 2.5522 -0.9780
Be Se Cl
1 1 2
direct
0.2863 0.8294 0.5726
0.6474 0.6155 0.2947
0.8941 0.9209 0.7882
0.6722 0.1342 0.3445
```

Properties
Energy above the lowest structure with this stoichiometry, eV per atom: 0.039
VASP energy, eV/cell: -42.569
Formation energy (no corrections), meV/atom: -545.4
D(E_F), states/eV per atom: 0.21

***

Density functional theory data (SCAN) for a PBEsol-optimized structure of RbZn2Pd.

Structure (POSCAR):
```
RbZn2Pd
1.0
4.9114 0.0000 0.0000
2.4557 4.2534 0.0000
2.4557 1.4178 4.0102
Zn Rb Pd
2 1 1
direct
0.2500 0.2500 0.2500
0.7500 0.7500 0.7500
0.0000 0.0000 0.0000
0.5000 0.5000 0.5000
```

Properties
Energy relative to the elements, eV/atom: 0.399
VASP energy, eV/cell: -78.948
D(E_F), states/eV per atom: 0.36

***

Density functional theory data (SCAN) for a PBEsol-optimized structure of CaPt3.

Structure (POSCAR):
```
CaPt3
1.0
2.8803 0.0000 0.0000
0.0000 4.7207 0.0000
0.0000 0.0000 4.8632
Ca Pt
1 3
direct
0.0000 0.0000 0.9738
0.0000 0.5000 0.3740
0.5000 0.0000 0.4662
0.5000 0.5000 0.8528
```

Properties
Energy relative to the elements, eV/atom: -0.480
VASP energy, eV/cell: -222.164
D(E_F), states/eV per atom: 0.61

***

Density functional theory data (SCAN) for a PBEsol-optimized structure of Ta2Cd.

Structure (POSCAR):
```
Ta2Cd
1.0
-2.7118 0.5962 -0.4468
-0.8932 -0.5841 4.6421
1.2185 4.2914 -1.6693
Cd Ta
1 2
direct
0.5000 0.0000 0.0000
0.0000 0.6667 0.3333
0.0000 0.3333 0.6667
```

Properties
Energy relative to the elements, eV/atom: 0.396
VASP energy, eV/cell: -162.392
D(E_F), states/eV per atom: 1.21

***

Density functional theory data (SCAN) for a PBEsol-optimized structure of ZrP2Rh.

Structure (POSCAR):
```
ZrP2Rh
1.0
-1.0433 0.7231 -2.5596
0.3762 -3.0933 -1.0272
-5.7481 -1.3504 1.9615
P Rh Zr
2 1 1
direct
0.0000 0.0000 0.7691
0.0000 0.0000 0.2309
0.5000 0.5000 0.0000
0.5000 0.5000 0.5000
```

Properties
Energy above the lowest structure with this stoichiometry, eV per atom: 0.390
Energy relative to the elements, eV/atom: -0.486
VASP energy, eV/cell: -87.212
D(E_F), states/eV per atom: 0.50

***

Density functional theory data (SCAN) for a PBEsol-optimized structure of MnPbW.

Structure (POSCAR):
```
MnPbW
1.0
4.4362 0.0000 0.0000
2.2181 3.8418 0.0000
2.2181 1.2806 3.6221
Mn Pb W
1 1 1
direct
0.5000 0.5000 0.5000
0.2500 0.2500 0.2500
0.0000 0.0000 0.0000
```

Properties
Energy relative to the elements, eV/atom: 1.261
VASP energy, eV/cell: -159.942
D(E_F), states/eV per atom: 0.80

***

Density functional theory data (SCAN) for a PBEsol-optimized structure of SrInN2O.

Structure (POSCAR):
```
SrInN2O
1.0
-2.2774 -2.2716 -3.1601
4.2120 -1.1508 -2.2084
0.3061 -4.0671 2.7031
Sr N O In
1 2 1 1
direct
0.0000 0.0000 0.0000
0.0000 0.0000 0.5000
0.0000 0.5000 0.0000
0.5000 0.0000 0.0000
0.5000 0.5000 0.5000
```

Properties
VASP energy, eV/cell: -76.000
Formation energy (no corrections), meV/atom: 895.1
D(E_F), states/eV per atom: 0.34